one) Material: HfNiO2
Method: DFT, GGA+U
State: optimized geometry

Unit cell a=5.9285 b=5.9285 c=5.9285 alpha=33.02 beta=33.02 gamma=33.02
Closest atoms and distances in Å follow each position.
Fractional coordinates of all 4 atoms:
Ni  0.0000  0.0000  0.0000  2 O 1.93
Hf  0.5000  0.5000  0.5000  6 O 2.13
O  0.8849  0.8849  0.8849  1 Ni 1.93, 3 Hf 2.13
O  0.1151  0.1151  0.1151  1 Ni 1.93, 3 Hf 2.13

The calculation puts the total moment at 0.139 μB/cell.



two) Material: HfNiO2
Method: DFT, GGA+U
State: optimized geometry

Unit cell a=8.5106 b=3.7299 c=3.7987 alpha=86.30 beta=104.54 gamma=111.92
Closest atoms and distances in Å follow each position.
Fractional coordinates of all 8 atoms:
Ni  0.1293  0.2352  0.5171  2 O 2.14-2.17
Ni  0.1228  0.7388  0.0915  2 O 2.15-2.18
Hf  0.8041  0.2102  0.6366  5 O 2.00-2.15
Hf  0.4480  0.7637  0.9702  5 O 2.00-2.15
O  0.5460  0.7722  0.5219  3 Hf 2.05-2.15
O  0.9093  0.8047  0.6868  2 Hf 2.00-2.06, 2 Ni 2.15-2.17
O  0.3428  0.1692  0.9208  2 Hf 2.00-2.06, 2 Ni 2.14-2.18
O  0.7061  0.2017  0.0849  3 Hf 2.05-2.15

The calculation puts the total moment at 2.000 μB/cell.



three) Material: HfNiO2
Method: DFT, GGA+U
State: optimized geometry

Unit cell a=6.3293 b=6.3293 c=6.3293 alpha=28.87 beta=28.87 gamma=28.87
Closest atoms and distances in Å follow each position.
Fractional coordinates of all 4 atoms:
Ni  0.5000  0.5000  0.5000  6 O 2.11
Hf  0.0000  0.0000  0.0000  2 O 1.97
O  0.8917  0.8917  0.8917  1 Hf 1.97, 3 Ni 2.11
O  0.1083  0.1083  0.1083  1 Hf 1.97, 3 Ni 2.11

The calculation puts the total moment at 1.991 μB/cell.



four) Material: HfNiO2
Method: DFT, GGA+U
State: optimized geometry

Unit cell a=3.7972 b=3.7972 c=3.7972 alpha=60.00 beta=60.00 gamma=60.00
Closest atoms and distances in Å follow each position.
Fractional coordinates of all 4 atoms:
Ni  0.0000  0.0000  0.0000  8 O 2.33
Hf  0.5000  0.5000  0.5000  8 O 2.33
O  0.2500  0.2500  0.2500  4 Hf 2.33, 4 Ni 2.33
O  0.7500  0.7500  0.7500  4 Hf 2.33, 4 Ni 2.33

The calculation puts the total moment at 0.000 μB/cell.



Energies, relative to the best one, in meV per atom: one) 145; two) 0; three) 608; four) 703.